# ReOsPb2

ReOsPb2 after structural relaxation (PBE, Alexandria).

Structure (POSCAR):
```
ReOsPb2
1.0
1.631 -2.699 0.000
1.631 2.699 0.000
0.000 0.000 9.040
Re Os Pb
1 1 2
Direct
0.000 0.000 0.000
0.000 0.000 0.500
0.500 0.500 0.253
0.500 0.500 0.747
```

The energy above the most stable polymorph in this dataset is 351 kJ/mol of formula units. Its formation enthalpy at 0 K is 1.328 eV per atom. The calculation puts the density of states at the Fermi level at 4.5 states/eV/f.u. As for the calculated total energy: -6.446 eV per atom. The space-group type is Cmmm, No. 65. As for the volume: 19.899 A^3/atom. The total magnetization is 0.00 μB/cell.